# 1
Density functional theory data (GGA-PBEsol) for crystalline RhF3 at its relaxed geometry.

a b c (Å): 5.3254 5.3254 5.3254
angles (deg): 54.43 54.43 54.43
Fractional positions:
1 Rh 0.0000 0.0000 0.0000
2 Rh 0.5000 0.5000 0.5000
3 F 0.0846 0.7500 0.4154
4 F 0.2500 0.5846 0.9154
5 F 0.4154 0.0846 0.7500
6 F 0.5846 0.9154 0.2500
7 F 0.7500 0.4154 0.0846
8 F 0.9154 0.2500 0.5846

Values from the calculation:
Volume   92.9 Å³ per cell
Calculated density   5.7 g/cm3
ΔE_f (raw)   -1529 meV per atom
Total energy   -5.01 eV/atom
Symmetry   R-3c, No. 167

***

# 2
Density functional theory data (GGA-PBEsol) for crystalline RhF3 at its relaxed geometry.

a b c (Å): 5.0428 5.0428 7.1274
angles (deg): 90.00 90.00 120.00
Fractional positions:
1 Rh 0.0000 0.0000 0.0000
2 Rh 0.3333 0.6667 0.6611
3 Rh 0.6667 0.3333 0.3389
4 F 0.0000 0.3633 0.5000
5 F 0.0497 0.7175 0.8221
6 F 0.2825 0.3321 0.8221
7 F 0.3321 0.2825 0.1779
8 F 0.3633 0.0000 0.5000
9 F 0.6367 0.6367 0.5000
10 F 0.6679 0.9503 0.8221
11 F 0.7175 0.0497 0.1779
12 F 0.9503 0.6679 0.1779

Values from the calculation:
Volume   157.0 Å³ per cell
Calculated density   5.1 g/cm3
ΔE_f (raw)   -1418 meV per atom
Total energy   -4.90 eV/atom
Symmetry   P321, No. 150

***

# 3
Density functional theory data (GGA-PBEsol) for crystalline RhF5 at its relaxed geometry.

a b c (Å): 5.5442 9.7642 12.2729
angles (deg): 90.00 101.39 90.00
Fractional positions:
1 Rh 0.0036 0.2474 0.4954
2 Rh 0.0036 0.2526 0.9954
3 Rh 0.2997 0.0025 0.2013
4 Rh 0.2997 0.4975 0.7013
5 Rh 0.7003 0.5025 0.2987
6 Rh 0.7003 0.9975 0.7987
7 Rh 0.9964 0.7474 0.0046
8 Rh 0.9964 0.7526 0.5046
9 F 0.0212 0.5663 0.7398
10 F 0.0212 0.9337 0.2398
11 F 0.0926 0.6697 0.1424
12 F 0.0926 0.8303 0.6424
13 F 0.1050 0.1682 0.1455
14 F 0.1050 0.3318 0.6455
15 F 0.1872 0.0959 0.5452
16 F 0.1872 0.4041 0.0452
17 F 0.1955 0.5860 0.5529
18 F 0.1955 0.9140 0.0529
19 F 0.2642 0.6795 0.9566
20 F 0.2642 0.8205 0.4566
21 F 0.2670 0.1678 0.9546
22 F 0.2670 0.3322 0.4546
23 F 0.3927 0.0890 0.3356
24 F 0.3927 0.4110 0.8356
25 F 0.4408 0.5746 0.3512
26 F 0.4408 0.9254 0.8512
27 F 0.4777 0.6496 0.7545
28 F 0.4777 0.8504 0.2545
29 F 0.5223 0.1496 0.7455
30 F 0.5223 0.3504 0.2455
31 F 0.5592 0.0746 0.1488
32 F 0.5592 0.4254 0.6488
33 F 0.6073 0.5890 0.1644
34 F 0.6073 0.9110 0.6644
35 F 0.7330 0.6678 0.5454
36 F 0.7330 0.8322 0.0454
37 F 0.7358 0.1795 0.5434
38 F 0.7358 0.3205 0.0434
39 F 0.8045 0.0860 0.9471
40 F 0.8045 0.4140 0.4471
41 F 0.8128 0.5959 0.9548
42 F 0.8128 0.9041 0.4548
43 F 0.8950 0.6682 0.3545
44 F 0.8950 0.8318 0.8545
45 F 0.9074 0.1697 0.3576
46 F 0.9074 0.3303 0.8576
47 F 0.9788 0.0663 0.7602
48 F 0.9788 0.4337 0.2602

Values from the calculation:
Volume   651.3 Å³ per cell
Calculated density   4.0 g/cm3
ΔE_f (raw)   -1363 meV per atom
Total energy   -4.33 eV/atom
Symmetry   P2_1/c, No. 14

***

# 4
Density functional theory data (GGA-PBEsol) for crystalline RhS2F at its relaxed geometry.

a b c (Å): 5.7969 5.7969 8.5810
angles (deg): 90.00 90.00 90.00
Fractional positions:
1 Rh 0.0000 0.0000 0.0000
2 Rh 0.0000 0.5000 0.2500
3 Rh 0.5000 0.0000 0.7500
4 Rh 0.5000 0.5000 0.5000
5 S 0.2115 0.7500 0.1250
6 S 0.2500 0.2115 0.8750
7 S 0.2500 0.2885 0.3750
8 S 0.2885 0.7500 0.6250
9 S 0.7115 0.2500 0.6250
10 S 0.7500 0.7115 0.3750
11 S 0.7500 0.7885 0.8750
12 S 0.7885 0.2500 0.1250
13 F 0.0000 0.0000 0.5000
14 F 0.0000 0.5000 0.7500
15 F 0.5000 0.0000 0.2500
16 F 0.5000 0.5000 0.0000

Values from the calculation:
Excess energy over the best structure of this formula in the dataset   0.109 eV per atom
Volume   288.4 Å³ per cell
Calculated density   4.3 g/cm3
ΔE_f (raw)   -270 meV per atom
Total energy   -4.98 eV/atom
Symmetry   I-42d, No. 122

***

- The lowest calculated density belongs to which entry?
  RhF5

***

- volume of number 2 (RhF3)?
  157.0 Å³ per cell